Entry 1:
Entry from the Alexandria database: a relaxed structure of LuHfReRh (GGA-PBE).

## Properties
For the density of states at the Fermi level, the calculation gives 2.33 states/eV/cell. The value obtained for the total magnetization is 0.0 μB per formula unit. As for the energy of formation: -0.49 eV per atom. The space group is F-43m (216). The mass density comes out at 14.7 g/cm3.

```
LuHfReRh
1.0
4.677 0.000 0.000
2.339 4.051 0.000
2.339 1.350 3.819
Rh Hf Lu Re
1 1 1 1
Direct
0.500 0.500 0.500
0.750 0.750 0.750
0.250 0.250 0.250
0.000 0.000 0.000
```

Entry 2:
Entry from the Alexandria database: a relaxed structure of BaPbSe2Br (GGA-PBE).

## Properties
For the density of states at the Fermi level, the calculation gives 2.47 states/eV/cell. The value obtained for the total magnetization is 0.0 μB per formula unit. The formation energy from raw total energies is -345 meV per atom. The space group is P4/mmm (123). The mass density comes out at 4.5 g/cm3.

```
BaPbSe2Br
1.0
-0.978 4.699 3.603
-5.371 0.834 -2.545
-2.488 -3.631 4.059
Se Pb Br Ba
2 1 1 1
Direct
0.500 0.000 0.000
0.000 0.500 0.000
0.500 0.500 0.500
0.000 0.000 0.500
0.000 0.000 0.000
```

Entry 3:
Entry from the Alexandria database: a relaxed structure of TiReAu3 (GGA-PBE).

## Properties
For the density of states at the Fermi level, the calculation gives 7.71 states/eV/cell. The value obtained for the total magnetization is 0.0 μB per formula unit. As for the energy of formation: 1.37 eV per atom. The space group is Pm-3m (221). The mass density comes out at 11.2 g/cm3.

```
TiReAu3
1.0
4.964 0.000 0.000
0.000 4.964 0.000
0.000 0.000 4.964
Re Au Ti
1 3 1
Direct
0.000 0.000 0.000
0.000 0.500 0.000
0.500 0.000 0.000
0.000 0.000 0.500
0.500 0.500 0.500
```